No. 1
The following is a DFT calculation (PBE) of a geometry-optimized In2Cu structure.

Cell and atoms, written as CIF:
```
data_In2Cu
_space_group_name_H-M_alt 'C m c m'
_space_group_IT_number 63
_space_group_name_Hall '-C 2c 2'
_cell_length_a 3.415
_cell_length_b 14.708
_cell_length_c 5.197
_cell_angle_alpha 90.00
_cell_angle_beta 90.00
_cell_angle_gamma 90.00
loop_
_atom_site_label
_atom_site_type_symbol
_atom_site_fract_x
_atom_site_fract_y
_atom_site_fract_z
In1 In 0.000 0.059 0.250
In2 In 0.000 0.352 0.250
Cu1 Cu 0.000 0.292 0.750
```

Volume = 261.0 Å³ per cell
Size of the total moment = 0.00 Bohr magnetons per cell
Calculated formation energy = 0.13 eV per atom

***

No. 2
The following is a DFT calculation (PBE) of a geometry-optimized In9Cu11 structure.

Cell and atoms, written as CIF:
```
data_In9Cu11
_space_group_name_H-M_alt 'C 1 2/m 1'
_space_group_IT_number 12
_cell_length_a 12.922
_cell_length_b 4.390
_cell_length_c 12.976
_cell_angle_alpha 90.00
_cell_angle_beta 109.99
_cell_angle_gamma 90.00
loop_
_space_group_symop_operation_xyz
'x,y,z'
'-x,-y,-z'
'-x,y,-z'
'x,-y,z'
'x+1/2,y+1/2,z'
'-x+1/2,-y+1/2,-z'
'-x+1/2,y+1/2,-z'
'x+1/2,-y+1/2,z'
loop_
_atom_site_label
_atom_site_type_symbol
_atom_site_fract_x
_atom_site_fract_y
_atom_site_fract_z
In1 In 0.000 0.000 0.000
In2 In 0.123 0.500 0.735
In3 In 0.131 0.000 0.258
In4 In 0.171 0.000 0.526
In5 In 0.176 0.500 0.022
Cu1 Cu 0.000 0.500 0.500
Cu2 Cu 0.022 0.000 0.633
Cu3 Cu 0.026 0.500 0.147
Cu4 Cu 0.107 0.000 0.858
Cu5 Cu 0.108 0.500 0.371
Cu6 Cu 0.249 0.500 0.248
```

Volume = 691.8 Å³ per cell
Size of the total moment = 0.00 Bohr magnetons per cell
Calculated formation energy = 0.01 eV per atom